Entry 1:
A plane-wave DFT calculation with PBE was carried out for a relaxed SmSc2Sn crystal.

a = 3.687 Å, b = 3.687 Å, c = 7.588 Å
α = 90.00°, β = 90.00°, γ = 90.00°
Element x y z (fractional)
Sn (0.500, 0.500, 0.000)
Sm (0.500, 0.500, 0.500)
Sc (0.000, 0.000, 0.215)
Sc (0.000, 0.000, 0.785)

Results
The value obtained for the formation energy is -0.28 eV/atom. For the distance to the lowest polymorph of the same formula, the calculation gives 4.34 kcal/mol of atoms. For the density of states at the Fermi level, the calculation gives 1.48 states/eV per atom. The total energy is -22.5 eV per formula unit.

Entry 2:
A plane-wave DFT calculation with PBE was carried out for a relaxed SmSc2Sn crystal.

a = 4.543 Å, b = 4.436 Å, c = 10.952 Å
α = 101.68°, β = 90.00°, γ = 90.00°
Element x y z (fractional)
Sc (0.750, 0.446, 0.893)
Sc (0.250, 0.939, 0.879)
Sc (0.250, 0.554, 0.107)
Sc (0.750, 0.061, 0.121)
Sm (0.750, 0.690, 0.380)
Sm (0.250, 0.310, 0.620)
Sn (0.250, 0.157, 0.314)
Sn (0.750, 0.843, 0.686)

Results
The value obtained for the formation energy is -0.46 eV/atom. For the distance to the lowest polymorph of the same formula, the calculation gives 0.00 kcal/mol of atoms. For the density of states at the Fermi level, the calculation gives 1.38 states/eV per atom. The total energy is -23.2 eV per formula unit.

Entry 3:
A plane-wave DFT calculation with PBE was carried out for a relaxed SmScSn2 crystal.

a = 4.450 Å, b = 4.270 Å, c = 6.052 Å
α = 90.00°, β = 111.55°, γ = 90.00°
Element x y z (fractional)
Sn (0.178, 0.500, 0.895)
Sn (0.988, 0.000, 0.515)
Sm (0.450, 0.500, 0.439)
Sc (0.715, 0.000, 0.969)

Results
The value obtained for the formation energy is -0.65 eV/atom. For the density of states at the Fermi level, the calculation gives 0.74 states/eV per atom. The total energy is -21.7 eV per formula unit.

Entry 4:
A plane-wave DFT calculation with PBE was carried out for a relaxed Sm2ScSn crystal.

a = 4.802 Å, b = 4.758 Å, c = 4.758 Å
α = 90.00°, β = 90.00°, γ = 90.00°
Element x y z (fractional)
Sm (0.000, 0.000, 0.500)
Sm (0.000, 0.500, 0.000)
Sc (0.500, 0.500, 0.500)
Sn (0.500, 0.000, 0.000)

Results
The value obtained for the formation energy is -0.42 eV/atom. For the distance to the lowest polymorph of the same formula, the calculation gives 0.00 kcal/mol of atoms. For the density of states at the Fermi level, the calculation gives 1.06 states/eV per atom. The total energy is -21.4 eV per formula unit.

Entry 5:
A plane-wave DFT calculation with PBE was carried out for a relaxed SmScSn crystal.

a = 3.970 Å, b = 4.923 Å, c = 4.923 Å
α = 120.00°, β = 90.00°, γ = 90.00°
Element x y z (fractional)
Sn (0.831, 0.667, 0.333)
Sm (0.334, 0.333, 0.667)
Sc (0.835, 0.000, 0.000)

Results
The value obtained for the formation energy is -0.44 eV/atom. For the distance to the lowest polymorph of the same formula, the calculation gives 4.43 kcal/mol of atoms. For the density of states at the Fermi level, the calculation gives 0.47 states/eV per atom. The total energy is -16.4 eV per formula unit.

Entry 6:
A plane-wave DFT calculation with PBE was carried out for a relaxed Sm5ScSn4 crystal.

a = 3.693 Å, b = 9.499 Å, c = 9.745 Å
α = 105.32°, β = 100.92°, γ = 90.00°
Element x y z (fractional)
Sn (0.662, 0.085, 0.324)
Sn (0.001, 0.241, 0.002)
Sn (0.999, 0.759, 0.998)
Sn (0.338, 0.915, 0.676)
Sm (0.831, 0.184, 0.662)
Sm (0.829, 0.639, 0.658)
Sm (0.169, 0.816, 0.338)
Sm (0.171, 0.361, 0.342)
Sm (0.500, 0.500, 0.000)
Sc (0.500, 0.000, 0.000)

Results
The value obtained for the formation energy is -0.33 eV/atom. For the density of states at the Fermi level, the calculation gives 0.85 states/eV per atom. The total energy is -49.3 eV per formula unit.

Entry 7:
A plane-wave DFT calculation with PBE was carried out for a relaxed Sm5ScSn5 crystal.

a = 6.067 Å, b = 8.618 Å, c = 7.197 Å
α = 105.04°, β = 90.00°, γ = 110.61°
Element x y z (fractional)
Sn (0.839, 0.678, 0.652)
Sn (0.837, 0.674, 0.097)
Sn (0.161, 0.322, 0.348)
Sn (0.163, 0.326, 0.903)
Sn (0.500, 0.000, 0.000)
Sm (0.651, 0.302, 0.775)
Sm (0.682, 0.363, 0.289)
Sm (0.000, 0.000, 0.500)
Sm (0.349, 0.698, 0.225)
Sm (0.318, 0.637, 0.711)
Sc (0.000, 0.000, 0.000)

Results
The value obtained for the formation energy is -0.46 eV/atom. For the density of states at the Fermi level, the calculation gives 0.73 states/eV per atom. The total energy is -55.0 eV per formula unit.

Entry 8:
A plane-wave DFT calculation with PBE was carried out for a relaxed Sm3Sc4Sn4 crystal.

a = 4.276 Å, b = 8.868 Å, c = 9.341 Å
α = 118.34°, β = 103.23°, γ = 90.00°
Element x y z (fractional)
Sn (0.766, 0.266, 0.531)
Sn (0.234, 0.734, 0.469)
Sn (0.500, 0.788, 0.000)
Sn (0.500, 0.212, 0.000)
Sm (0.000, 0.500, 0.000)
Sm (0.113, 0.113, 0.226)
Sm (0.887, 0.887, 0.774)
Sc (0.325, 0.129, 0.651)
Sc (0.675, 0.478, 0.349)
Sc (0.325, 0.522, 0.651)
Sc (0.675, 0.871, 0.349)

Results
The value obtained for the formation energy is -0.58 eV/atom. For the density of states at the Fermi level, the calculation gives 1.12 states/eV per atom. The total energy is -61.9 eV per formula unit.

Entry 9:
A plane-wave DFT calculation with PBE was carried out for a relaxed TbSmScSn crystal.

a = 5.320 Å, b = 5.320 Å, c = 5.320 Å
α = 60.00°, β = 60.00°, γ = 60.00°
Element x y z (fractional)
Sn (0.500, 0.500, 0.500)
Sm (0.750, 0.750, 0.750)
Sc (0.250, 0.250, 0.250)
Tb (0.000, 0.000, 0.000)

Results
The value obtained for the formation energy is -0.23 eV/atom. For the density of states at the Fermi level, the calculation gives 1.78 states/eV per atom. The total energy is -20.6 eV per formula unit.

Entry 10:
A plane-wave DFT calculation with PBE was carried out for a relaxed SmSc2Zn2Sn2 crystal.

a = 4.682 Å, b = 4.682 Å, c = 8.865 Å
α = 74.69°, β = 74.69°, γ = 60.00°
Element x y z (fractional)
Sm (0.000, 0.000, 0.000)
Zn (0.557, 0.557, 0.329)
Zn (0.443, 0.443, 0.671)
Sc (0.864, 0.864, 0.407)
Sc (0.136, 0.136, 0.593)
Sn (0.261, 0.261, 0.217)
Sn (0.739, 0.739, 0.783)

Results
The value obtained for the formation energy is -0.36 eV/atom. For the density of states at the Fermi level, the calculation gives 1.07 states/eV per atom. The total energy is -30.5 eV per formula unit.

Entry 11:
A plane-wave DFT calculation with PBE was carried out for a relaxed SrSm2Sc crystal.

a = 3.590 Å, b = 3.590 Å, c = 12.833 Å
α = 81.96°, β = 81.96°, γ = 60.00°
Element x y z (fractional)
Sm (0.904, 0.904, 0.288)
Sm (0.096, 0.096, 0.712)
Sc (0.500, 0.500, 0.500)
Sr (0.000, 0.000, 0.000)

Results
The value obtained for the formation energy is 0.24 eV/atom. For the distance to the lowest polymorph of the same formula, the calculation gives 3.28 kcal/mol of atoms. For the density of states at the Fermi level, the calculation gives 1.53 states/eV per atom. The total energy is -16.5 eV per formula unit.

Entry 12:
A plane-wave DFT calculation with PBE was carried out for a relaxed SrSmSc crystal.

a = 3.732 Å, b = 3.732 Å, c = 8.049 Å
α = 103.40°, β = 103.40°, γ = 90.00°
Element x y z (fractional)
Sc (0.680, 0.680, 0.360)
Sm (0.314, 0.314, 0.628)
Sr (0.006, 0.006, 0.012)

Results
The value obtained for the formation energy is 0.18 eV/atom. For the distance to the lowest polymorph of the same formula, the calculation gives 0.00 kcal/mol of atoms. For the density of states at the Fermi level, the calculation gives 1.79 states/eV per atom. The total energy is -12.2 eV per formula unit.